Entry 1:
The following is a DFT calculation (GGA-PBE) of an optimized crystal structure of Tc2TeMo.

Properties
Energy relative to the elements, uncorrected (kJ per mole of atoms): 44

Structure (POSCAR):
```
Tc2TeMo
1.0
1.494 0.863 8.691
-1.494 0.863 8.691
0.000 -1.725 8.691
Tc Te Mo
2 1 1
direct
0.000 0.000 0.000
0.253 0.253 0.253
0.502 0.502 0.502
0.747 0.747 0.747
```

Entry 2:
The following is a DFT calculation (GGA-PBE) of an optimized crystal structure of CePu4Ga2.

Properties
ΔH_f (0 K) (eV per atom): -0.026

Structure (POSCAR):
```
CePu4Ga2
1.0
4.323 0.000 0.000
0.000 4.323 0.000
0.000 0.000 9.066
Ce Pu Ga
1 4 2
direct
0.000 0.000 0.000
0.000 0.000 0.500
0.000 0.500 0.274
0.500 0.000 0.726
0.500 0.500 0.500
0.000 0.500 0.747
0.500 0.000 0.253
```

Entry 3:
The following is a DFT calculation (GGA-PBE) of an optimized crystal structure of Ba2CaCl2O2.

Properties
Energy relative to the elements, uncorrected (kJ per mole of atoms): -255

Structure (POSCAR):
```
Ba2CaCl2O2
1.0
-2.273 2.273 7.918
2.273 -2.273 7.918
2.273 2.273 -7.918
Ba Ca Cl O
2 1 2 2
direct
0.110 0.110 0.000
0.890 0.890 0.000
0.500 0.500 0.000
0.319 0.319 0.000
0.681 0.681 0.000
0.000 0.500 0.500
0.500 0.000 0.500
```

Entry 4:
The following is a DFT calculation (GGA-PBE) of an optimized crystal structure of ScSiIr2Au.

Properties
Energy relative to the elements, uncorrected (kJ per mole of atoms): 129

Structure (POSCAR):
```
ScSiIr2Au
1.0
4.708 0.000 0.000
0.000 4.708 0.000
0.000 0.000 5.024
Sc Si Ir Au
1 1 2 1
direct
0.000 0.000 0.000
0.500 0.500 0.500
0.000 0.500 0.000
0.500 0.000 0.000
0.000 0.000 0.500
```

Entry 5:
The following is a DFT calculation (GGA-PBE) of an optimized crystal structure of Tb2CeTe.

Properties
Energy relative to the elements, uncorrected (kJ per mole of atoms): -51
Distance to the lowest polymorph of the same formula (meV/atom): 0

Structure (POSCAR):
```
Tb2CeTe
1.0
3.856 0.000 0.000
0.000 3.856 0.000
0.000 0.000 7.848
Tb Ce Te
2 1 1
direct
0.000 0.000 0.225
0.000 0.000 0.775
0.500 0.500 0.500
0.500 0.500 0.000
```

Entry 6:
The following is a DFT calculation (GGA-PBE) of an optimized crystal structure of Pd2PtRh8.

Properties
ΔH_f (0 K) (eV per atom): 0.334

Structure (POSCAR):
```
Pd2PtRh8
1.0
3.747 -5.988 0.000
3.747 5.988 0.000
-3.364 0.000 3.816
Pd Pt Rh
2 1 8
direct
0.192 0.808 0.000
0.808 0.192 0.000
0.500 0.500 0.500
0.085 0.085 0.330
0.189 0.410 0.913
0.272 0.728 0.500
0.410 0.189 0.913
0.590 0.811 0.087
0.728 0.272 0.500
0.811 0.590 0.087
0.915 0.915 0.670
```

Entry 7:
The following is a DFT calculation (GGA-PBE) of an optimized crystal structure of In2Fe2B.

Properties
ΔH_f (0 K) (eV per atom): 1.336
Distance to the lowest polymorph of the same formula (meV/atom): 1046

Structure (POSCAR):
```
In2Fe2B
1.0
-1.917 1.917 6.242
1.917 -1.917 6.242
1.917 1.917 -6.242
In Fe B
2 2 1
direct
0.250 0.750 0.500
0.750 0.250 0.500
0.086 0.086 0.000
0.914 0.914 0.000
0.500 0.500 0.000
```

Entry 8:
The following is a DFT calculation (GGA-PBE) of an optimized crystal structure of K2FeNiCl6.

Properties
Energy relative to the elements, uncorrected (kJ per mole of atoms): -111

Structure (POSCAR):
```
K2FeNiCl6
1.0
3.488 2.014 11.623
-3.488 2.014 11.623
0.000 -4.028 11.623
K Fe Ni Cl
4 2 2 12
direct
0.120 0.120 0.120
0.296 0.296 0.296
0.704 0.704 0.704
0.880 0.880 0.880
0.415 0.415 0.415
0.585 0.585 0.585
0.000 0.000 0.000
0.500 0.500 0.500
0.140 0.617 0.617
0.207 0.207 0.709
0.207 0.709 0.207
0.291 0.793 0.793
0.383 0.383 0.860
0.383 0.860 0.383
0.617 0.140 0.617
0.617 0.617 0.140
0.709 0.207 0.207
0.793 0.291 0.793
0.793 0.793 0.291
0.860 0.383 0.383
```

| no. | E_tot (eV for the cell shown) |
| --- | --- |
| 1 | -32.87 |
| 2 | -69.50 |
| 3 | -37.97 |
| 4 | -26.09 |
| 5 | -20.44 |
| 6 | -71.56 |
| 7 | -22.40 |
| 8 | -77.96 |